Material: Ce3ZnH3
Method: DFT, PBE
State: relaxed

symmetry = No. 223
total DFT energy (no corrections) = -4.38 eV/atom

Cell: 6.351 6.351 6.351 Å, 90.00 90.00 90.00°
Fractional positions:
Ce 0.000 0.250 0.500
Ce 0.000 0.750 0.500
Ce 0.250 0.500 0.000
Ce 0.500 0.000 0.250
Ce 0.500 0.000 0.750
Ce 0.750 0.500 0.000
Zn 0.000 0.000 0.000
Zn 0.500 0.500 0.500
H 0.000 0.500 0.250
H 0.000 0.500 0.750
H 0.250 0.000 0.500
H 0.500 0.250 0.000
H 0.500 0.750 0.000
H 0.750 0.000 0.500

=====

Material: Er3Ag3Au2
Method: DFT, PBE
State: relaxed

formation energy from the elements = -554 meV/atom
symmetry = No. 189

Cell: 7.539 7.539 3.650 Å, 90.00 90.00 120.00°
Fractional positions:
Er 0.000 0.399 0.000
Er 0.399 0.000 0.000
Er 0.601 0.601 0.000
Ag 0.000 0.774 0.500
Ag 0.226 0.226 0.500
Ag 0.774 0.000 0.500
Au 0.333 0.667 0.500
Au 0.667 0.333 0.500

=====

Material: CaMnCl2
Method: DFT, PBE
State: relaxed

E_form (uncorrected) = -3.98 eV per formula unit
symmetry = No. 166
excess energy over the best structure of this formula in the dataset = 0 meV per atom

Cell: 10.907 10.907 10.907 Å, 20.63 20.63 20.63°
Fractional positions:
Ca 0.000 0.000 0.000
Mn 0.500 0.500 0.500
Cl 0.381 0.381 0.381
Cl 0.619 0.619 0.619